This record from Alexandria describes a relaxed Ga3HgAu3 crystal. The functional is GGA-PBE.

The structure in POSCAR format:
```
Ga3HgAu3
1.0
-3.608 6.245 0.440
-4.452 -2.203 -5.248
-4.401 -2.891 4.948
Au Ga Hg
6 6 2
direct
0.000 0.750 0.500
0.750 0.500 0.000
0.250 0.500 0.000
0.500 0.000 0.750
0.000 0.250 0.500
0.500 0.000 0.250
0.750 0.000 0.500
0.500 0.750 0.000
0.500 0.250 0.000
0.250 0.000 0.500
0.000 0.500 0.750
0.000 0.500 0.250
0.500 0.500 0.500
0.000 0.000 0.000
```

Properties
The calculation puts the total moment at 0.0000 μB per atom. For the formation energy, the calculation gives 5.9 kJ per mole of atoms. As for the space group: No. 223.